The following is a DFT calculation (PBE) of CaSiP2 after structural relaxation.

Calculated values
E_tot = -4.861 eV per atom
crystal system = monoclinic
N(E_F) = 0.31 states/eV per atom

abc: 3.5783 4.1324 5.6146
angles: 90.11 90.00 90.00
Positions (direct):
1 P 0.0000 0.2504 0.9693
2 P 0.0000 0.2496 0.5307
3 Si 0.5000 0.2500 0.2500
4 Ca 0.5000 0.7500 0.7500